# PBE+U YMn2O4, optimized geometry
# Space group: R-3m (166)
# E, eV per cell: -113.289
# Theoretical density, g/cm³: 4.71
# Polymorph energy (0 for the lowest one), eV/atom: 0.085
# Fermi-level density of states, states/eV per cell: 3.7
# Magnetization, μB/atom: 1.2857
data_YMn2O4
_cell_length_a 6.3932
_cell_length_b 6.3932
_cell_length_c 6.3932
_cell_angle_alpha 60.12
_cell_angle_beta 60.12
_cell_angle_gamma 60.12
_symmetry_space_group_name_H-M 'P 1'
_symmetry_Int_Tables_number 1
loop_
_symmetry_equiv_pos_as_xyz
'x,y,z'
loop_
_atom_site_label
_atom_site_type_symbol
_atom_site_fract_x
_atom_site_fract_y
_atom_site_fract_z
Y1 Y 0.1172 0.1172 0.1172
Y2 Y 0.8828 0.8828 0.8828
Mn1 Mn 0.0000 0.5000 0.5000
Mn2 Mn 0.5000 0.0000 0.5000
Mn3 Mn 0.5000 0.5000 0.0000
Mn4 Mn 0.5000 0.5000 0.5000
O1 O 0.2518 0.2518 0.2518
O2 O 0.2570 0.2570 0.6991
O3 O 0.2570 0.6991 0.2570
O4 O 0.3009 0.7430 0.7430
O5 O 0.6991 0.2570 0.2570
O6 O 0.7430 0.3009 0.7430
O7 O 0.7430 0.7430 0.3009
O8 O 0.7482 0.7482 0.7482